Record 1
The following is a DFT calculation (PBE-GGA) of an optimized crystal structure of In7Cu10.

Calculated values
Theoretical density: 8.485 g cm⁻³

Cell: 13.926 11.964 6.762 Å, 90.00 90.89 90.00°
Space group C2/m (No. 12)
Asymmetric unit:
In 0.035 0.000 0.283 (multiplicity 4)
In 0.069 0.275 0.197 (multiplicity 8)
In 0.156 0.224 0.615 (multiplicity 8)
In 0.166 0.500 0.498 (multiplicity 4)
In 0.237 0.500 0.067 (multiplicity 4)
Cu 0.000 0.389 0.500 (multiplicity 4)
Cu 0.049 0.500 0.166 (multiplicity 4)
Cu 0.095 0.113 0.940 (multiplicity 8)
Cu 0.107 0.390 0.846 (multiplicity 8)
Cu 0.149 0.000 0.607 (multiplicity 4)
Cu 0.205 0.113 0.275 (multiplicity 8)
Cu 0.250 0.250 0.000 (multiplicity 4)

Record 2
The following is a DFT calculation (PBE-GGA) of an optimized crystal structure of In3Cu7.

Calculated values
Theoretical density: 8.893 g cm⁻³

Cell: 6.741 9.126 10.094 Å, 106.80 97.03 90.20°
Space group P-1 (No. 2)
Asymmetric unit:
In 0.020 0.137 0.378 (multiplicity 2)
In 0.118 0.494 0.366 (multiplicity 2)
In 0.176 0.662 0.105 (multiplicity 2)
In 0.292 0.028 0.056 (multiplicity 2)
In 0.358 0.234 0.817 (multiplicity 2)
In 0.423 0.781 0.482 (multiplicity 2)
Cu 0.027 0.089 0.866 (multiplicity 2)
Cu 0.041 0.808 0.348 (multiplicity 2)
Cu 0.060 0.792 0.865 (multiplicity 2)
Cu 0.163 0.500 0.839 (multiplicity 2)
Cu 0.197 0.353 0.062 (multiplicity 2)
Cu 0.227 0.350 0.584 (multiplicity 2)
Cu 0.257 0.642 0.663 (multiplicity 2)
Cu 0.270 0.048 0.563 (multiplicity 2)
Cu 0.344 0.958 0.303 (multiplicity 2)
Cu 0.348 0.927 0.772 (multiplicity 2)
Cu 0.356 0.260 0.287 (multiplicity 2)
Cu 0.431 0.734 0.914 (multiplicity 2)
Cu 0.468 0.517 0.250 (multiplicity 2)
Cu 0.500 0.500 0.000 (multiplicity 1)
Cu 0.500 0.500 0.500 (multiplicity 1)

Record 3
The following is a DFT calculation (PBE-GGA) of an optimized crystal structure of In2Cu.

Calculated values
Theoretical density: 7.689 g cm⁻³

Cell: 6.459 6.459 24.284 Å, 90.00 90.00 90.00°
Space group I4_1/acd (No. 142, origin choice 2)
Asymmetric unit:
In 0.166 0.084 0.125 (multiplicity 16)
In 0.247 0.000 0.750 (multiplicity 16)
Cu 0.000 0.250 0.318 (multiplicity 16)

Record 4
The following is a DFT calculation (PBE-GGA) of an optimized crystal structure of In2Cu.

Calculated values
Theoretical density: 7.928 g cm⁻³

Cell: 5.567 9.769 18.068 Å, 90.00 90.00 90.00°
Space group Fddd (No. 70, origin choice 2)
Asymmetric unit:
In 0.125 0.125 0.041 (multiplicity 16)
In 0.125 0.291 0.625 (multiplicity 16)
Cu 0.125 0.125 0.499 (multiplicity 16)

Record 5
The following is a DFT calculation (PBE-GGA) of an optimized crystal structure of InCu10.

Calculated values
Theoretical density: 5.744 g cm⁻³

Cell: 8.041 3.568 30.244 Å, 90.00 90.10 90.00°
Space group C2/m (No. 12)
Asymmetric unit:
In 0.151 0.000 0.298 (multiplicity 4)
Cu 0.049 0.000 0.094 (multiplicity 4)
Cu 0.050 0.000 0.825 (multiplicity 4)
Cu 0.050 0.500 0.229 (multiplicity 4)
Cu 0.050 0.500 0.960 (multiplicity 4)
Cu 0.147 0.000 0.744 (multiplicity 4)
Cu 0.150 0.000 0.013 (multiplicity 4)
Cu 0.150 0.500 0.148 (multiplicity 4)
Cu 0.151 0.500 0.880 (multiplicity 4)
Cu 0.249 0.500 0.067 (multiplicity 4)
Cu 0.249 0.500 0.798 (multiplicity 4)

Record 6
The following is a DFT calculation (PBE-GGA) of an optimized crystal structure of In2Cu3.

Calculated values
Theoretical density: 8.550 g cm⁻³

Cell: 4.5088 4.5088 13.9084 Å, 90.00 90.00 120.00°
Space group R-3m (No. 166, hexagonal axes)
Asymmetric unit:
In 0.0000 0.0000 0.2184 (multiplicity 6)
Cu 0.0000 0.0000 0.0000 (multiplicity 3)
Cu 0.0000 0.0000 0.4063 (multiplicity 6)

Record 7
The following is a DFT calculation (PBE-GGA) of an optimized crystal structure of In3Cu.

Calculated values
Theoretical density: 7.188 g cm⁻³

Cell: 7.054 7.054 7.578 Å, 90.00 90.00 90.00°
Space group P4_2/mnm (No. 136)
Asymmetric unit:
In 0.000 0.500 0.000 (multiplicity 4)
In 0.161 0.161 0.249 (multiplicity 8)
Cu 0.135 0.865 0.000 (multiplicity 4)

Record 8
The following is a DFT calculation (PBE-GGA) of an optimized crystal structure of In9Cu11.

Calculated values
Theoretical density: 8.386 g cm⁻³

Cell: 7.444 4.380 10.522 Å, 90.00 90.62 90.00°
Space group P2/m (No. 10)
Asymmetric unit:
In 0.000 0.000 0.000 (multiplicity 1)
In 0.139 0.500 0.612 (multiplicity 2)
In 0.197 0.500 0.159 (multiplicity 2)
In 0.306 0.000 0.359 (multiplicity 2)
In 0.387 0.000 0.876 (multiplicity 2)
Cu 0.000 0.000 0.500 (multiplicity 1)
Cu 0.029 0.000 0.750 (multiplicity 2)
Cu 0.172 0.500 0.881 (multiplicity 2)
Cu 0.342 0.000 0.614 (multiplicity 2)
Cu 0.473 0.500 0.737 (multiplicity 2)
Cu 0.500 0.500 0.000 (multiplicity 1)
Cu 0.500 0.500 0.500 (multiplicity 1)

In the order shown, the computed energy values come out to -3.325, -3.434, -3.063, -3.049, -3.560, -3.163, -2.900, -3.279 eV per atom.
In the order shown, the computed calculated volume values come out to 16.57, 14.74, 21.10, 20.47, 19.72, 16.32, 23.57, 17.15 Å³/atom.